Below is a relaxed structure of ThMgAlZn, with properties calculated at the PBE level.

Unit cell a=5.006 b=5.006 c=5.006 alpha=60.00 beta=60.00 gamma=60.00
Fractional positions:
Th 0.000 0.000 0.000
Mg 0.500 0.500 0.500
Al 0.250 0.250 0.250
Zn 0.750 0.750 0.750

## Properties
Calculated formation energy   -0.16 eV/atom